Density functional theory data (PBE) for a relaxed LiMg3Pa2N6 crystal.

Calculated values
As for the density: 6.85 Mg/m³. As for the raw formation energy: -1.05 eV/atom. The total energy is -7.35 eV/atom.

Cell lengths 13.728, 3.464, 6.562 Å; angles 90.00, 103.48, 90.00 degrees
Space group C2/m (No. 12)
One atom of each set of equivalent atoms:
1 Li 0.000 0.000 0.000 (multiplicity 2)
2 Mg 0.000 0.000 0.500 (multiplicity 2)
3 Mg 0.161 0.500 0.832 (multiplicity 4)
4 Pa 0.156 0.500 0.308 (multiplicity 4)
5 N 0.001 0.500 0.733 (multiplicity 4)
6 N 0.169 0.000 0.089 (multiplicity 4)
7 N 0.172 0.000 0.566 (multiplicity 4)

=====

Density functional theory data (PBE) for a relaxed La2SiBi crystal.

Calculated values
As for the density: 6.46 Mg/m³. As for the raw formation energy: -0.72 eV/atom. The total energy is -5.51 eV/atom.

Cell lengths 4.4761, 4.4761, 22.8715 Å; angles 90.00, 90.00, 120.00 degrees
Space group R-3m (No. 166, hexagonal axes)
One atom of each set of equivalent atoms:
1 La 0.0000 0.0000 0.2424 (multiplicity 6)
2 Si 0.0000 0.0000 0.5000 (multiplicity 3)
3 Bi 0.0000 0.0000 0.0000 (multiplicity 3)

=====

Density functional theory data (PBE) for a relaxed SiTeP crystal.

Calculated values
As for the density: 4.67 Mg/m³. As for the raw formation energy: 0.69 eV/atom. The total energy is -3.97 eV/atom.

Cell lengths 6.425, 6.425, 6.425 Å; angles 90.00, 90.00, 90.00 degrees
Space group F-43m (No. 216)
One atom of each set of equivalent atoms:
1 Si 0.000 0.000 0.000 (multiplicity 4)
2 Te 0.250 0.250 0.250 (multiplicity 4)
3 P 0.250 0.250 0.750 (multiplicity 4)

=====

Density functional theory data (PBE) for a relaxed Hf2Tc2Sn crystal.

Calculated values
The formation energy from the elements is 0.85 eV/f.u. As for the density: 11.43 Mg/m³. The total energy is -8.76 eV/atom.

Cell lengths 7.804, 7.804, 3.205 Å; angles 90.00, 90.00, 90.00 degrees
Space group P4/mbm (No. 127)
One atom of each set of equivalent atoms:
1 Hf 0.141 0.359 0.000 (multiplicity 4)
2 Tc 0.155 0.655 0.500 (multiplicity 4)
3 Sn 0.000 0.000 0.000 (multiplicity 2)

=====

Density functional theory data (PBE) for a relaxed CaB3C crystal.

Calculated values
The formation energy from the elements is 8.50 eV/f.u. As for the density: 2.72 Mg/m³. The total energy is -4.55 eV/atom.

Cell lengths 3.722, 3.722, 3.722 Å; angles 90.00, 90.00, 90.00 degrees
Space group Pm-3m (No. 221)
One atom of each set of equivalent atoms:
1 Ca 0.000 0.000 0.000 (multiplicity 1)
2 B 0.000 0.500 0.500 (multiplicity 3)
3 C 0.500 0.500 0.500 (multiplicity 1)

=====

Density functional theory data (PBE) for a relaxed La2AuI crystal.

Calculated values
As for the density: 7.45 Mg/m³. As for the raw formation energy: -0.91 eV/atom. The total energy is -4.58 eV/atom.

Cell lengths 4.4281, 4.4281, 23.6920 Å; angles 90.00, 90.00, 120.00 degrees
Space group R-3m (No. 166, hexagonal axes)
One atom of each set of equivalent atoms:
1 La 0.0000 0.0000 0.2379 (multiplicity 6)
2 Au 0.0000 0.0000 0.5000 (multiplicity 3)
3 I 0.0000 0.0000 0.0000 (multiplicity 3)

=====

Density functional theory data (PBE) for a relaxed AsPdPbSe2 crystal.

Calculated values
As for the density: 5.70 Mg/m³. As for the raw formation energy: 1.07 eV/atom. The total energy is -3.03 eV/atom.

Cell lengths 5.437, 5.437, 5.384 Å; angles 90.00, 90.00, 90.00 degrees
Space group P4/mmm (No. 123)
One atom of each set of equivalent atoms:
1 As 0.000 0.000 0.000 (multiplicity 1)
2 Pd 0.500 0.500 0.000 (multiplicity 1)
3 Pb 0.000 0.000 0.500 (multiplicity 1)
4 Se 0.000 0.500 0.500 (multiplicity 2)

=====

Density functional theory data (PBE) for a relaxed CoBiS2 crystal.

Calculated values
As for the density: 6.31 Mg/m³. As for the raw formation energy: -0.10 eV/atom. The total energy is -4.91 eV/atom.

Cell lengths 6.089, 6.089, 9.428 Å; angles 90.00, 90.00, 90.00 degrees
Space group I-42d (No. 122)
One atom of each set of equivalent atoms:
1 Co 0.000 0.000 0.000 (multiplicity 4)
2 Bi 0.000 0.000 0.500 (multiplicity 4)
3 S 0.155 0.250 0.125 (multiplicity 8)

=====

Density functional theory data (PBE) for a relaxed LiMgAg2B crystal.

Calculated values
The formation energy from the elements is 0.90 eV/f.u. As for the density: 4.93 Mg/m³. The total energy is -3.00 eV/atom.

Cell lengths 4.409, 4.409, 4.466 Å; angles 90.00, 90.00, 90.00 degrees
Space group P4/mmm (No. 123)
One atom of each set of equivalent atoms:
1 Li 0.000 0.000 0.000 (multiplicity 1)
2 Mg 0.500 0.500 0.000 (multiplicity 1)
3 Ag 0.000 0.500 0.500 (multiplicity 2)
4 B 0.500 0.500 0.500 (multiplicity 1)

=====

Density functional theory data (PBE) for a relaxed SmDyY2Tm6 crystal.

Calculated values
The formation energy from the elements is 1.29 eV/f.u. As for the density: 7.93 Mg/m³. The total energy is -4.78 eV/atom.

Cell lengths 9.054, 14.913, 9.390 Å; angles 90.00, 96.29, 90.00 degrees
Space group C2/c (No. 15)
One atom of each set of equivalent atoms:
1 Sm 0.000 0.028 0.250 (multiplicity 4)
2 Dy 0.000 0.410 0.750 (multiplicity 4)
3 Y 0.249 0.448 0.453 (multiplicity 8)
4 Tm 0.062 0.186 0.941 (multiplicity 8)
5 Tm 0.098 0.389 0.116 (multiplicity 8)
6 Tm 0.207 0.226 0.316 (multiplicity 8)

=====

Density functional theory data (PBE) for a relaxed Co2TcIr crystal.

Calculated values
The formation energy from the elements is 0.12 eV/f.u. As for the density: 13.48 Mg/m³. The total energy is -8.33 eV/atom.

Cell lengths 3.722, 3.722, 3.627 Å; angles 90.00, 90.00, 90.00 degrees
Space group P4/mmm (No. 123)
One atom of each set of equivalent atoms:
1 Co 0.000 0.500 0.000 (multiplicity 2)
2 Tc 0.000 0.000 0.500 (multiplicity 1)
3 Ir 0.500 0.500 0.500 (multiplicity 1)

=====

Density functional theory data (PBE) for a relaxed Pu2MgAu6 crystal.

Calculated values
The formation energy from the elements is -3.68 eV/f.u. As for the density: 14.94 Mg/m³. The total energy is -5.96 eV/atom.

Cell lengths 14.492, 8.371, 3.105 Å; angles 90.00, 90.07, 90.00 degrees
Space group C2/m (No. 12)
One atom of each set of equivalent atoms:
1 Pu 0.167 0.000 0.000 (multiplicity 4)
2 Mg 0.000 0.500 0.000 (multiplicity 2)
3 Au 0.000 0.170 0.500 (multiplicity 4)
4 Au 0.165 0.335 0.499 (multiplicity 8)

=====

Density functional theory data (PBE) for a relaxed BaNaLa2Ru crystal.

Calculated values
The formation energy from the elements is -0.17 eV/f.u. As for the density: 4.58 Mg/m³. The total energy is -4.51 eV/atom.

Cell lengths 5.493, 5.493, 6.483 Å; angles 90.00, 90.00, 90.00 degrees
Space group P4/mmm (No. 123)
One atom of each set of equivalent atoms:
1 Ba 0.000 0.000 0.000 (multiplicity 1)
2 Na 0.500 0.500 0.000 (multiplicity 1)
3 La 0.000 0.500 0.500 (multiplicity 2)
4 Ru 0.000 0.000 0.500 (multiplicity 1)

=====

Density functional theory data (PBE) for a relaxed KSrZr2Tl crystal.

Calculated values
The formation energy from the elements is 7.92 eV/f.u. As for the density: 4.98 Mg/m³. The total energy is -2.86 eV/atom.

Cell lengths 5.476, 5.476, 5.713 Å; angles 90.00, 90.00, 90.00 degrees
Space group P4/mmm (No. 123)
One atom of each set of equivalent atoms:
1 K 0.000 0.000 0.000 (multiplicity 1)
2 Sr 0.000 0.000 0.500 (multiplicity 1)
3 Zr 0.000 0.500 0.500 (multiplicity 2)
4 Tl 0.500 0.500 0.000 (multiplicity 1)

=====

Density functional theory data (PBE) for a relaxed KBeAs2O6 crystal.

Calculated values
As for the density: 3.27 Mg/m³. As for the raw formation energy: -1.55 eV/atom. The total energy is -5.94 eV/atom.

Cell lengths 10.801, 10.327, 6.459 Å; angles 90.00, 124.09, 90.00 degrees
Space group C2/c (No. 15)
One atom of each set of equivalent atoms:
1 K 0.000 0.151 0.250 (multiplicity 4)
2 Be 0.000 0.194 0.750 (multiplicity 4)
3 As 0.195 0.422 0.077 (multiplicity 8)
4 O 0.103 0.275 0.011 (multiplicity 8)
5 O 0.114 0.098 0.726 (multiplicity 8)
6 O 0.147 0.496 0.778 (multiplicity 8)

=====

Density functional theory data (PBE) for a relaxed SrTl crystal.

Calculated values
The formation energy from the elements is 0.24 eV/f.u. As for the density: 4.74 Mg/m³. The total energy is -1.90 eV/atom.

Cell lengths 5.8857, 5.8857, 6.8155 Å; angles 90.00, 90.00, 120.00 degrees
Space group P6_3/mmc (No. 194)
One atom of each set of equivalent atoms:
1 Sr 0.3333 0.6667 0.2500 (multiplicity 2)
2 Tl 0.3333 0.6667 0.7500 (multiplicity 2)

=====

Density functional theory data (PBE) for a relaxed La3CuGe crystal.

Calculated values
The formation energy from the elements is -1.95 eV/f.u. As for the density: 6.42 Mg/m³. The total energy is -5.09 eV/atom.

Cell lengths 4.244, 8.265, 8.441 Å; angles 90.07, 90.05, 104.84 degrees
Space group P-1 (No. 2)
One atom of each set of equivalent atoms:
1 La 0.038 0.076 0.330 (multiplicity 2)
2 La 0.246 0.492 0.684 (multiplicity 2)
3 La 0.400 0.797 0.041 (multiplicity 2)
4 Cu 0.214 0.428 0.065 (multiplicity 2)
5 Ge 0.391 0.782 0.421 (multiplicity 2)

=====

Density functional theory data (PBE) for a relaxed Ba2AlCd4Ga3 crystal.

Calculated values
The formation energy from the elements is -2.95 eV/f.u. As for the density: 6.08 Mg/m³. The total energy is -2.33 eV/atom.

Cell lengths 4.747, 4.747, 11.633 Å; angles 90.00, 90.00, 90.00 degrees
Space group P-4m2 (No. 115)
One atom of each set of equivalent atoms:
1 Ba 0.000 0.500 0.249 (multiplicity 2)
2 Al 0.500 0.500 0.000 (multiplicity 1)
3 Cd 0.000 0.000 0.500 (multiplicity 1)
4 Cd 0.000 0.500 0.870 (multiplicity 2)
5 Cd 0.500 0.500 0.500 (multiplicity 1)
6 Ga 0.000 0.000 0.000 (multiplicity 1)
7 Ga 0.000 0.500 0.633 (multiplicity 2)

=====

Density functional theory data (PBE) for a relaxed CePuPd crystal.

Calculated values
The formation energy from the elements is -0.76 eV/f.u. As for the density: 12.97 Mg/m³. The total energy is -8.74 eV/atom.

Cell lengths 4.9256, 4.9256, 2.9892 Å; angles 90.00, 90.00, 120.00 degrees
Space group P-6m2 (No. 187)
One atom of each set of equivalent atoms:
1 Ce 0.0000 0.0000 0.0000 (multiplicity 1)
2 Pu 0.6667 0.3333 0.0000 (multiplicity 1)
3 Pd 0.3333 0.6667 0.5000 (multiplicity 1)

=====

The calculation returns the following density of states at the Fermi level values, one per record and in order: 10.43 11.12 12.30 11.83 1.87 11.23 8.19 16.78 1.46 59.04 5.18 44.16 5.27 6.40 8.71 7.03 11.04 5.24 6.43 states/eV per cell.